Run w
! VI2NO | the Alexandria database | PBE with a Hubbard U | relaxed; values from VASP
&SYSTEM
  ibrav = 0, nat = 5, ntyp = 4
/
ATOMIC_SPECIES
I 126.90 I.upf
O 16.00 O.upf
N 14.01 N.upf
V 50.94 V.upf
ATOMIC_POSITIONS crystal
I 0.500 0.000 0.000
I 0.000 0.500 0.000
O 0.000 0.000 0.500
N 0.500 0.500 0.500
V 0.000 0.000 0.000
CELL_PARAMETERS angstrom
5.760 0.000 0.000
0.000 5.760 0.000
0.000 0.000 3.656
! * crystal system: tetragonal



Run x
! VI2NO | the Alexandria database | PBE with a Hubbard U | relaxed; values from VASP
&SYSTEM
  ibrav = 0, nat = 5, ntyp = 4
/
ATOMIC_SPECIES
O 16.00 O.upf
V 50.94 V.upf
I 126.90 I.upf
N 14.01 N.upf
ATOMIC_POSITIONS crystal
O 0.000 0.000 0.000
V 0.500 0.500 0.500
I 0.000 0.500 0.000
N 0.000 0.000 0.500
I 0.500 0.000 0.000
CELL_PARAMETERS angstrom
-2.766 -4.086 0.579
3.488 -1.941 2.958
-1.759 1.637 3.149
! * crystal system: tetragonal



Run y
! VI2NO | the Alexandria database | PBE with a Hubbard U | relaxed; values from VASP
&SYSTEM
  ibrav = 0, nat = 5, ntyp = 4
/
ATOMIC_SPECIES
N 14.01 N.upf
I 126.90 I.upf
V 50.94 V.upf
O 16.00 O.upf
ATOMIC_POSITIONS crystal
N 0.000 0.000 0.000
I 0.500 0.000 0.000
I 0.000 0.500 0.000
V 0.500 0.500 0.500
O 0.000 0.000 0.500
CELL_PARAMETERS angstrom
-2.748 3.394 -2.560
-0.604 -3.329 -3.765
-3.134 -1.295 1.648
! * crystal system: tetragonal



Most stable: run w. Least stable: run x.